(1)
# CdSb3

A relaxed structure of CdSb3 (GGA-PBE, the Alexandria database).

Cell and atoms, written as CIF:
```
data_CdSb3
_space_group_name_H-M_alt 'P m -3 n'
_space_group_IT_number 223
_space_group_name_Hall '-P 4n 2 3'
_cell_length_a 6.0059
_cell_length_b 6.0059
_cell_length_c 6.0059
_cell_angle_alpha 90.00
_cell_angle_beta 90.00
_cell_angle_gamma 90.00
loop_
_atom_site_label
_atom_site_type_symbol
_atom_site_fract_x
_atom_site_fract_y
_atom_site_fract_z
Cd1 Cd 0.0000 0.0000 0.0000
Sb1 Sb 0.0000 0.2500 0.5000
```

=====

(2)
# CdSb

A relaxed structure of CdSb (GGA-PBE, the Alexandria database).

Cell and atoms, written as CIF:
```
data_CdSb
_space_group_name_H-M_alt 'P 1 21/m 1'
_space_group_IT_number 11
_cell_length_a 4.8287
_cell_length_b 4.1983
_cell_length_c 6.0125
_cell_angle_alpha 90.00
_cell_angle_beta 112.15
_cell_angle_gamma 90.00
loop_
_space_group_symop_operation_xyz
'x,y,z'
'-x,-y,-z'
'-x,y+1/2,-z'
'x,-y+1/2,z'
loop_
_atom_site_label
_atom_site_type_symbol
_atom_site_fract_x
_atom_site_fract_y
_atom_site_fract_z
Cd1 Cd 0.1758 0.2500 0.4263
Sb1 Sb 0.3377 0.7500 0.0734
```

=====

(3)
# CdSb3

A relaxed structure of CdSb3 (GGA-PBE, the Alexandria database).

Cell and atoms, written as CIF:
```
data_CdSb3
_space_group_name_H-M_alt 'C 1 2/m 1'
_space_group_IT_number 12
_cell_length_a 8.2512
_cell_length_b 3.2634
_cell_length_c 8.2767
_cell_angle_alpha 90.00
_cell_angle_beta 95.84
_cell_angle_gamma 90.00
loop_
_space_group_symop_operation_xyz
'x,y,z'
'-x,-y,-z'
'-x,y,-z'
'x,-y,z'
'x+1/2,y+1/2,z'
'-x+1/2,-y+1/2,-z'
'-x+1/2,y+1/2,-z'
'x+1/2,-y+1/2,z'
loop_
_atom_site_label
_atom_site_type_symbol
_atom_site_fract_x
_atom_site_fract_y
_atom_site_fract_z
Cd1 Cd 0.0000 0.0000 0.0000
Sb1 Sb 0.0000 0.5000 0.5000
Sb2 Sb 0.2475 0.5000 0.2394
```

=====

Energy relative to the elements, uncorrected? In order: 0.32; 0.08; 0.10 eV/atom.
E above lowest polymorph? In order: 0.266; 0.122; 0.046 eV/atom.